Entry 1:
A crystal of BePt2O relaxed with PBEsol, computed with SCAN.

Results
SG: No. 225
Energy relative to the elements, uncorrected: 0.149 eV per atom

Unit cell a=3.9880 b=3.9880 c=3.9880 alpha=60.00 beta=60.00 gamma=60.00
Sites, in units of the cell vectors:
Pt (0.2500, 0.2500, 0.2500)
O (0.5000, 0.5000, 0.5000)
Be (0.0000, 0.0000, 0.0000)
Pt (0.7500, 0.7500, 0.7500)

=====

Entry 2:
A crystal of Be2PtO relaxed with PBEsol, computed with SCAN.

Results
SG: No. 122
Energy relative to the elements, uncorrected: -1.349 eV per atom

Unit cell a=4.8948 b=4.8563 c=4.8948 alpha=59.74 beta=90.00 gamma=120.26
Sites, in units of the cell vectors:
Be (0.2379, 0.7500, 0.8750)
Be (0.5121, 0.7500, 0.3750)
O (0.2500, 0.5000, 0.2500)
Pt (0.7500, 0.5000, 0.7500)
Be (0.8750, 0.2500, 0.5121)
Pt (0.0000, 0.0000, 0.0000)
Be (0.3750, 0.2500, 0.2379)
O (0.5000, 0.0000, 0.5000)

=====

Entry 3:
A crystal of BeSbPtO2 relaxed with PBEsol, computed with SCAN.

Results
SG: No. 123
Energy relative to the elements, uncorrected: 0.213 eV per atom

Unit cell a=3.7367 b=3.7367 c=6.2446 alpha=90.00 beta=90.00 gamma=90.00
Sites, in units of the cell vectors:
O (0.0000, 0.5000, 0.0000)
Be (0.0000, 0.0000, 0.5000)
O (0.5000, 0.0000, 0.0000)
Pt (0.5000, 0.5000, 0.5000)
Sb (0.0000, 0.0000, 0.0000)

=====

Number 1: E -37.594 eV per atom, N(E_F) 3.81 states/eV/f.u., size of the total moment 0.00 μB/f.u.. Number 2: E -22.632 eV per atom, N(E_F) 0.74 states/eV/f.u., size of the total moment 0.00 μB/f.u.. Number 3: E -24.641 eV per atom, N(E_F) 2.08 states/eV/f.u., size of the total moment 0.00 μB/f.u..